1.
CuP2SO | meta-GGA SCAN | PBEsol geometry

Cell lengths 3.535, 4.519, 4.519 Å; angles 90.00, 90.00, 90.00 degrees
Fractional coordinates of all 5 atoms:
1 Cu 0.000 0.000 0.000
2 P 0.000 0.500 0.000
3 P 0.000 0.000 0.500
4 O 0.500 0.000 0.000
5 S 0.500 0.500 0.500

Results
Excess energy over the best structure of this formula in the dataset = 0.000 eV per atom
Total magnetic moment = 0.00 μB/f.u.
ΔE_f (raw) = 0.67 eV/atom



2.
CrGe3P | meta-GGA SCAN | PBEsol geometry

Cell lengths 4.608, 4.608, 4.608 Å; angles 90.00, 90.00, 90.00 degrees
Last column: magnetic moment on the atom in μB.
Fractional coordinates of all 5 atoms:
1 Cr 0.000 0.000 0.000  1.99
2 P 0.500 0.500 0.500  0.56
3 Ge 0.000 0.500 0.000  -0.07
4 Ge 0.000 0.000 0.500  -0.07
5 Ge 0.500 0.000 0.000  -0.07

Results
Formation energy from the elements = 0.621 eV per atom
Total magnetic moment = 2.88 μB/f.u.



3.
BaZn3Cr | meta-GGA SCAN | PBEsol geometry

Cell lengths 4.908, 4.908, 4.908 Å; angles 90.00, 90.00, 90.00 degrees
Last column: magnetic moment on the atom in μB.
Fractional coordinates of all 5 atoms:
1 Zn 0.000 0.000 0.500  0.04
2 Zn 0.000 0.500 0.000  0.04
3 Zn 0.500 0.000 0.000  0.04
4 Cr 0.000 0.000 0.000  3.65
5 Ba 0.500 0.500 0.500  -0.10

Results
Formation energy from the elements = 0.046 eV per atom
Total magnetic moment = 3.67 μB/f.u.



- The highest total magnetic moment belongs to which entry?
  BaZn3Cr